VASP calculation (GGA+U) on crystalline TeMoS2F at its relaxed geometry.

Structure (POSCAR):
```
TeMoS2F
1.0
4.956 0.000 0.000
0.000 4.956 0.000
0.000 0.000 5.762
Te Mo S F
1 1 2 1
direct
0.000 0.000 0.000 Te
0.000 0.000 0.500 Mo
0.000 0.500 0.000 S
0.500 0.000 0.000 S
0.500 0.500 0.500 F
```

Summary:
The total magnetization is 0.79 μB/atom. The calculation puts the raw total energy at -17.39 eV/cell.